## Na3Zn7Au4 (PBE-GGA)

Data for a relaxed Na3Zn7Au4 crystal.

Computed properties:
ΔH_f (0 K) in meV/atom: -224
V in Å³/atom: 19.2
Crystal system: monoclinic

Cell lengths 15.897, 4.367, 9.340 Å; angles 90.00, 123.88, 90.00 degrees
Space group C2/m (No. 12)
One atom of each set of equivalent atoms:
Na: 0.000 0.000 0.000
Na: 0.200 0.500 0.702
Zn: 0.000 0.000 0.500
Zn: 0.001 0.500 0.303
Zn: 0.139 0.000 0.427
Zn: 0.178 0.500 0.029
Au: 0.121 0.000 0.838
Au: 0.166 0.500 0.297


## NaZnAu2 (PBE-GGA)

Data for a relaxed NaZnAu2 crystal.

Computed properties:
ΔH_f (0 K) in meV/atom: -271
V in Å³/atom: 19.6
Crystal system: orthorhombic

Cell lengths 4.199, 10.229, 7.293 Å; angles 90.00, 90.00, 90.00 degrees
Space group Cmcm (No. 63)
One atom of each set of equivalent atoms:
Na: 0.000 0.063 0.250
Zn: 0.000 0.226 0.750
Au: 0.000 0.365 0.053


## NaZn4Au5 (PBE-GGA)

Data for a relaxed NaZn4Au5 crystal.

Computed properties:
ΔH_f (0 K) in meV/atom: -216
V in Å³/atom: 17.2
Crystal system: tetragonal

Cell lengths 3.163, 3.163, 17.195 Å; angles 90.00, 90.00, 90.00 degrees
Space group P4/mmm (No. 123)
One atom of each set of equivalent atoms:
Na: 0.000 0.000 0.000
Zn: 0.000 0.000 0.218
Zn: 0.000 0.000 0.406
Au: 0.500 0.500 0.128
Au: 0.500 0.500 0.312
Au: 0.500 0.500 0.500


## NaZn6Au (PBE-GGA)

Data for a relaxed NaZn6Au crystal.

Computed properties:
ΔH_f (0 K) in meV/atom: 47
V in Å³/atom: 16.9
Crystal system: cubic

Cell lengths 5.131, 5.131, 5.131 Å; angles 90.00, 90.00, 90.00 degrees
Space group Pm-3 (No. 200)
One atom of each set of equivalent atoms:
Na: 0.000 0.000 0.000
Zn: 0.000 0.252 0.500
Au: 0.500 0.500 0.500